No. 1
# ZrBeTl (PBE, optimized geometry)
data_ZrBeTl
_chemical_formula_sum 'Zr1 Be1 Tl1'
_space_group_name_H-M_alt 'P 3 m 1'
_space_group_IT_number 156
_space_group_name_Hall 'P 3 -2"'
_cell_length_a 3.1629
_cell_length_b 3.1629
_cell_length_c 6.9544
_cell_angle_alpha 90.00
_cell_angle_beta 90.00
_cell_angle_gamma 120.00
loop_
_atom_site_label
_atom_site_type_symbol
_atom_site_fract_x
_atom_site_fract_y
_atom_site_fract_z
Zr1 Zr 0.0000 0.0000 0.0000
Be1 Be 0.3333 0.6667 0.3081
Tl1 Tl 0.6667 0.3333 0.6132
# - total magnetic moment (μB per formula unit) = 0.00
# - density of states at the Fermi level (states/eV/f.u.) = 1.6
# - formation energy (meV/atom) = 456
# - energy (eV per atom) = -4.42
# - distance to the lowest polymorph of the same formula (eV/f.u.) = 1.57

No. 2
# MgCrPdRh (PBE, optimized geometry)
data_MgCrPdRh
_chemical_formula_sum 'Mg4 Cr4 Pd4 Rh4'
_space_group_name_H-M_alt 'F -4 3 m'
_space_group_IT_number 216
_space_group_name_Hall 'F -4 2 3'
_cell_length_a 6.206
_cell_length_b 6.206
_cell_length_c 6.206
_cell_angle_alpha 90.00
_cell_angle_beta 90.00
_cell_angle_gamma 90.00
loop_
_atom_site_label
_atom_site_type_symbol
_atom_site_fract_x
_atom_site_fract_y
_atom_site_fract_z
Mg1 Mg 0.000 0.000 0.000
Cr1 Cr 0.000 0.000 0.500
Pd1 Pd 0.250 0.250 0.750
Rh1 Rh 0.250 0.250 0.250
# - total magnetic moment (μB per formula unit) = 3.30
# - density of states at the Fermi level (states/eV/f.u.) = 5.0
# - formation energy (meV/atom) = -245
# - energy (eV per atom) = -6.19